Entry 1:
Entry from the Alexandria database: Li3MnP2O8 after structural relaxation (GGA+U).

Cell lengths 4.824, 9.053, 7.898 Å; angles 90.00, 123.63, 90.00 degrees
Space group P2_1/c (No. 14)
One atom of each set of equivalent atoms:
Li1 0.000 0.000 0.000
Li2 0.337 0.134 0.833
Mn1 0.500 0.000 0.500
P1 0.171 0.678 0.195
O1 0.139 0.654 0.715
O2 0.166 0.124 0.500
O3 0.246 0.591 0.382
O4 0.464 0.651 0.164

**Excess energy over the best structure of this formula in the dataset**: 0 meV per atom



Entry 2:
Entry from the Alexandria database: LiMnP2O7 after structural relaxation (GGA+U).

Cell lengths 6.103, 7.535, 8.116 Å; angles 84.33, 81.52, 68.36 degrees
Space group P-1 (No. 2)
One atom of each set of equivalent atoms:
Li1 0.000 0.000 0.000
Li2 0.500 0.000 0.000
Mn1 0.167 0.570 0.740
P1 0.041 0.309 0.872
P2 0.354 0.376 0.366
O1 0.111 0.734 0.265
O2 0.138 0.653 0.966
O3 0.208 0.294 0.281
O4 0.233 0.110 0.891
O5 0.256 0.415 0.548
O6 0.351 0.580 0.262
O7 0.376 0.726 0.664

**Excess energy over the best structure of this formula in the dataset**: 496 meV per atom



Entry 3:
Entry from the Alexandria database: Li3Mn2P4O14 after structural relaxation (GGA+U).

Cell lengths 5.067, 6.995, 8.343 Å; angles 89.68, 88.86, 71.83 degrees
Space group P1 (No. 1)
One atom of each set of equivalent atoms:
Li1 0.000 0.000 0.000
Li2 0.107 0.571 0.693
Li3 0.656 0.322 0.493
Mn1 0.058 0.930 0.346
Mn2 0.629 0.389 0.865
P1 0.049 0.579 0.073
P2 0.225 0.134 0.663
P3 0.430 0.184 0.178
P4 0.635 0.744 0.553
O1 0.032 0.151 0.807
O2 0.067 0.139 0.504
O3 0.210 0.592 0.916
O4 0.217 0.065 0.179
O5 0.252 0.421 0.194
O6 0.374 0.295 0.659
O7 0.459 0.735 0.412
O8 0.460 0.917 0.677
O9 0.585 0.154 0.016
O10 0.618 0.144 0.322
O11 0.715 0.550 0.654
O12 0.792 0.519 0.045
O13 0.915 0.783 0.517
O14 0.981 0.782 0.163

**Electronic total energy**: -7.049 eV per atom



Entry 4:
Entry from the Alexandria database: LiMnP2O7 after structural relaxation (GGA+U).

Cell lengths 5.988, 6.240, 8.301 Å; angles 97.30, 104.07, 110.28 degrees
Space group P-1 (No. 2)
One atom of each set of equivalent atoms:
Li1 0.000 0.000 0.000
Li2 0.000 0.000 0.500
Mn1 0.359 0.684 0.227
P1 0.188 0.453 0.782
P2 0.418 0.221 0.312
O1 0.092 0.674 0.321
O2 0.238 0.603 0.953
O3 0.262 0.340 0.208
O4 0.293 0.616 0.657
O5 0.296 0.260 0.782
O6 0.356 0.989 0.185
O7 0.377 0.195 0.482

**Excess energy over the best structure of this formula in the dataset**: 73 meV per atom



Entry 5:
Entry from the Alexandria database: LiMn2P2O8 after structural relaxation (GGA+U).

Cell lengths 7.203, 6.942, 7.194 Å; angles 90.00, 91.74, 90.00 degrees
Space group C2 (No. 5)
One atom of each set of equivalent atoms:
Li1 0.000 0.000 0.000
Mn1 0.000 0.548 0.000
Mn2 0.000 0.952 0.500
P1 0.235 0.246 0.756
O1 0.070 0.847 0.231
O2 0.071 0.383 0.790
O3 0.210 0.145 0.569
O4 0.244 0.098 0.924

**Excess energy over the best structure of this formula in the dataset**: 53 meV per atom



Entry 6:
Entry from the Alexandria database: Li2MnP2O8 after structural relaxation (GGA+U).

Cell lengths 4.659, 4.966, 7.112 Å; angles 90.06, 97.21, 116.58 degrees
Space group P-1 (No. 2)
One atom of each set of equivalent atoms:
Li1 0.216 0.206 0.152
Mn1 0.000 0.500 0.500
P1 0.391 0.159 0.711
O1 0.219 0.263 0.547
O2 0.235 0.618 0.270
O3 0.260 0.154 0.895
O4 0.352 0.836 0.656

**Excess energy over the best structure of this formula in the dataset**: 43 meV per atom



Entry 7:
Entry from the Alexandria database: Li2MnP2O8 after structural relaxation (GGA+U).

Cell lengths 4.748, 5.784, 10.084 Å; angles 90.08, 90.90, 91.42 degrees
Space group P-1 (No. 2)
One atom of each set of equivalent atoms:
Li1 0.000 0.000 0.000
Li2 0.029 0.250 0.732
Li3 0.500 0.500 0.500
Mn1 0.489 0.249 0.218
P1 0.083 0.751 0.604
P2 0.435 0.746 0.089
O1 0.148 0.744 0.459
O2 0.238 0.951 0.685
O3 0.240 0.259 0.374
O4 0.248 0.546 0.676
O5 0.250 0.239 0.908
O6 0.288 0.960 0.158
O7 0.301 0.532 0.162
O8 0.303 0.749 0.943

**Excess energy over the best structure of this formula in the dataset**: 36 meV per atom



Entry 8:
Entry from the Alexandria database: LiMn2P3O12 after structural relaxation (GGA+U).

Cell lengths 8.265, 8.513, 14.353 Å; angles 90.00, 124.68, 90.00 degrees
Space group P2_1/c (No. 14)
One atom of each set of equivalent atoms:
Li1 0.230 0.107 0.303
Mn1 0.147 0.530 0.392
Mn2 0.361 0.530 0.117
P1 0.035 0.112 0.646
P2 0.256 0.613 0.644
P3 0.472 0.249 0.010
O1 0.007 0.518 0.777
O2 0.036 0.207 0.162
O3 0.040 0.610 0.605
O4 0.119 0.571 0.978
O5 0.246 0.073 0.682
O6 0.283 0.557 0.550
O7 0.315 0.141 0.913
O8 0.334 0.672 0.395
O9 0.344 0.721 0.182
O10 0.374 0.501 0.748
O11 0.376 0.172 0.563
O12 0.498 0.126 0.440

**Excess energy over the best structure of this formula in the dataset**: 5 meV per atom



no.,volume (A^3/atom)
1,10.3
2,15.6
3,12.2
4,12.5
5,13.8
6,11.2
7,10.6
8,11.5